A relaxed VO2 crystal, computed with PBE+U.

Values from the calculation:
Space group: P6_3/mmc
Total moment in Bohr magnetons per cell: 2.0
N(E_F) in states/eV/f.u.: 2.3
E_tot in eV/atom: -7.53

Cell lengths 2.9443, 2.9443, 10.8137 Å; angles 90.00, 90.00, 120.00 degrees
Positions (direct):
V 0.0000 0.0000 0.0000
V 0.0000 0.0000 0.5000
O 0.3333 0.6667 0.0915
O 0.3333 0.6667 0.4085
O 0.6667 0.3333 0.5915
O 0.6667 0.3333 0.9085